Density functional theory data (PBE+U) for LiP2WO after structural relaxation.

Summary:
* offset from the most stable computed form: 487 kJ/mol of formula units
* space group: P4/mmm, No. 123
* final energy: -4.23 eV/atom

Lattice parameters (Å, degrees): 4.532 4.532 3.213 90.00 90.00 90.00
Fractional coordinates of all 5 atoms:
O  0.000  0.000  0.500
P  0.000  0.500  0.000
P  0.500  0.000  0.000
Li  0.000  0.000  0.000
W  0.500  0.500  0.500